First-principles (GGA-PBE) data for crystalline Tb7PmY4 at its relaxed geometry, as listed in the Alexandria database.

Geometry as POSCAR:
```
Tb7PmY4
1.0
-4.589 -0.412 -3.710
2.018 -9.631 -6.142
-5.307 -3.448 2.231
Tb Pm Y
7 1 4
Direct
0.790 0.923 0.498
0.210 0.077 0.502
0.061 0.674 0.204
0.939 0.326 0.796
0.368 0.502 0.763
0.500 0.000 0.000
0.632 0.498 0.237
0.000 0.000 0.000
0.634 0.224 0.508
0.366 0.776 0.492
0.752 0.683 0.813
0.248 0.317 0.187
```

Output
E (eV per atom): -4.987
Formation energy from the elements (eV/atom): 0.264
Energy relative to the lowest polymorph listed for this composition (meV/atom): 267
Space-group type: C2/m, No. 12
V (Å³ per cell): 399.7

First-principles (GGA-PBE) data for crystalline In3PdAu2 at its relaxed geometry, as listed in the Alexandria database.

Geometry as POSCAR:
```
In3PdAu2
1.0
-0.783 2.424 -1.666
1.748 -2.062 -3.822
-7.493 -4.878 -0.796
In Pd Au
3 1 2
Direct
0.358 0.000 0.716
0.642 0.000 0.284
0.500 0.500 0.000
0.000 0.000 0.000
0.179 0.500 0.358
0.821 0.500 0.642
```

Output
E (eV per atom): -3.565
Formation energy from the elements (eV/atom): -0.238
Space-group type: Cmmm, No. 65
V (Å³ per cell): 126.0

First-principles (GGA-PBE) data for crystalline ScCrS2Cl at its relaxed geometry, as listed in the Alexandria database.

Geometry as POSCAR:
```
ScCrS2Cl
1.0
4.957 0.000 0.000
0.000 4.957 0.000
0.000 0.000 4.832
Sc Cr S Cl
1 1 2 1
Direct
0.000 0.000 0.000
0.500 0.500 0.500
0.000 0.500 0.000
0.500 0.000 0.000
0.000 0.000 0.500
```

Output
Formation energy from raw total energies (eV/atom): -0.582
E (eV per atom): -5.794
Energy relative to the lowest polymorph listed for this composition (meV/atom): 25
Space-group type: P4/mmm, No. 123
V (Å³ per cell): 118.7

First-principles (GGA-PBE) data for crystalline Li2Sm4Al at its relaxed geometry, as listed in the Alexandria database.

Geometry as POSCAR:
```
Li2Sm4Al
1.0
-3.380 -3.383 1.955
-1.440 -4.111 -2.778
4.683 -6.901 2.981
Li Sm Al
2 4 1
Direct
0.738 0.738 0.786
0.262 0.262 0.214
0.871 0.871 0.388
0.129 0.129 0.612
0.616 0.616 0.152
0.384 0.384 0.848
0.000 0.000 0.000
```

Output
E (eV per atom): -3.702
Formation energy from the elements (eV/atom): 0.077
Space-group type: R-3m, No. 166
V (Å³ per cell): 192.7